VASP calculation (GGA-PBE) on an optimized crystal structure of BaY3B4S12.

Output
energy	-119.16	eV per formula unit
Fermi-level density of states	12.9	states/eV per cell

Lattice parameters (Å, degrees): 8.159 8.159 8.159 102.16 102.16 102.16
Fractional positions:
B  0.500  0.958  0.042
B  0.500  0.500  0.500
B  0.958  0.042  0.500
B  0.042  0.500  0.958
S  0.500  0.102  0.898
S  0.500  0.357  0.643
S  0.357  0.643  0.500
S  0.984  0.199  0.374
S  0.643  0.500  0.357
S  0.374  0.984  0.199
S  0.898  0.500  0.102
S  0.801  0.016  0.626
S  0.626  0.801  0.016
S  0.102  0.898  0.500
S  0.199  0.374  0.984
S  0.016  0.626  0.801
Ba  0.000  0.000  0.000
Y  0.000  0.539  0.461
Y  0.539  0.461  0.000
Y  0.461  0.000  0.539